# 1
First-principles (PBE) data for a geometry-optimized Pm12Ge2Ir5 structure, as listed in the Alexandria database.

Output
* formation energy: -12.085 kcal/mol of atoms
* magnetic moment: 0.00 μB per cell

a b c (Å): 7.3011 8.9567 9.5686
angles (deg): 106.14 90.00 114.05
Fractional positions:
Pm: 0.4473 0.3707 0.1150
Pm: 0.9174 0.8349 0.2030
Pm: 0.0766 0.6293 0.8850
Pm: 0.5527 0.6293 0.8850
Pm: 0.0826 0.1651 0.7970
Pm: 0.5982 0.7083 0.4572
Pm: 0.8899 0.2917 0.5428
Pm: 0.5036 0.0073 0.7852
Pm: 0.4018 0.2917 0.5428
Pm: 0.9234 0.3707 0.1150
Pm: 0.1101 0.7083 0.4572
Pm: 0.4964 0.9927 0.2148
Ir: 0.3217 0.6433 0.1609
Ir: 0.2953 0.5907 0.6449
Ir: 0.6783 0.3567 0.8391
Ir: 0.0000 0.0000 0.5000
Ir: 0.7047 0.4093 0.3551
Ge: 0.8178 0.0000 0.0000
Ge: 0.1822 0.0000 0.0000


# 2
First-principles (PBE) data for a geometry-optimized La2CePN5 structure, as listed in the Alexandria database.

Output
* magnetic moment: 0.26 μB per cell

a b c (Å): 6.8282 6.8282 7.2653
angles (deg): 118.03 118.03 90.00
Site moments in Bohr magnetons follow the coordinates.
Fractional positions:
P: 0.7500 0.2500 0.5000  0.00
P: 0.2500 0.7500 0.5000  0.00
N: 0.2053 0.9783 0.6837  -0.02
N: 0.7053 0.2053 0.6837  -0.02
N: 0.5000 0.5000 0.0000  -0.03
N: 0.2947 0.7947 0.3163  -0.02
N: 0.7947 0.0217 0.3163  -0.02
N: 0.9783 0.4783 0.6837  -0.02
N: 0.0217 0.5217 0.3163  -0.02
N: 0.4783 0.7053 0.6837  -0.02
N: 0.0000 0.0000 0.0000  -0.03
N: 0.5217 0.2947 0.3163  -0.02
La: 0.1784 0.3216 0.0000  0.00
La: 0.6784 0.1784 0.0000  0.00
La: 0.8216 0.6784 0.0000  0.00
La: 0.3216 0.8216 0.0000  0.00
Ce: 0.2500 0.2500 0.5000  0.25
Ce: 0.7500 0.7500 0.5000  0.25


# 3
First-principles (PBE) data for a geometry-optimized CsIn2Au structure, as listed in the Alexandria database.

Output
* formation energy: 4.270 kcal/mol of atoms
* magnetic moment: 0.00 μB per cell

a b c (Å): 5.5639 5.5639 5.5639
angles (deg): 60.00 60.00 60.00
Fractional positions:
Au: 0.5000 0.5000 0.5000
In: 0.7500 0.7500 0.7500
In: 0.2500 0.2500 0.2500
Cs: 0.0000 0.0000 0.0000


Number 1: calculated total energy -120.505 eV for the cell shown. Number 2: calculated total energy -147.424 eV for the cell shown. Number 3: calculated total energy -8.867 eV for the cell shown.